First-principles (GGA-PBE) data for a relaxed structure of SrCaTa2, as listed in the Alexandria database.

Structure (POSCAR):
```
SrCaTa2
1.0
1.5713 0.9072 11.5027
-1.5713 0.9072 11.5027
0.0000 -1.8143 11.5027
Sr Ca Ta
1 1 2
direct
0.0000 0.0000 0.0000
0.5000 0.5000 0.5000
0.2478 0.2478 0.2478
0.7522 0.7522 0.7522
```

Output
M_tot in μB per cell: 0.000
Energy above the lowest structure with this stoichiometry in meV per atom: 570
ΔE_f in eV/atom: 1.00
Calculated volume in A^3/atom: 24.59

=====

First-principles (GGA-PBE) data for a relaxed structure of AlRh2Cl, as listed in the Alexandria database.

Structure (POSCAR):
```
AlRh2Cl
1.0
5.1796 -1.4771 0.0000
5.1796 1.4771 0.0000
-0.3641 0.0000 4.0489
Al Rh Cl
1 2 1
direct
0.0000 0.0000 0.0000
0.4351 0.4351 0.4712
0.6944 0.6944 0.2330
0.2348 0.2348 0.7195
```

Output
M_tot in μB per cell: 0.000
Energy relative to the elements, uncorrected in eV/atom: -0.081
Energy above the lowest structure with this stoichiometry in meV per atom: 349
Calculated volume in A^3/atom: 15.49

=====

Repeat the second record exactly.
First-principles (GGA-PBE) data for a relaxed structure of AlRh2Cl, as listed in the Alexandria database.

Structure (POSCAR):
```
AlRh2Cl
1.0
5.1796 -1.4771 0.0000
5.1796 1.4771 0.0000
-0.3641 0.0000 4.0489
Al Rh Cl
1 2 1
direct
0.0000 0.0000 0.0000
0.4351 0.4351 0.4712
0.6944 0.6944 0.2330
0.2348 0.2348 0.7195
```

Output
M_tot in μB per cell: 0.000
Energy relative to the elements, uncorrected in eV/atom: -0.081
Energy above the lowest structure with this stoichiometry in meV per atom: 349
Calculated volume in A^3/atom: 15.49

=====

What did the second record say?
First-principles (GGA-PBE) data for a relaxed structure of AlRh2Cl, as listed in the Alexandria database.

Structure (POSCAR):
```
AlRh2Cl
1.0
5.1796 -1.4771 0.0000
5.1796 1.4771 0.0000
-0.3641 0.0000 4.0489
Al Rh Cl
1 2 1
direct
0.0000 0.0000 0.0000
0.4351 0.4351 0.4712
0.6944 0.6944 0.2330
0.2348 0.2348 0.7195
```

Output
M_tot in μB per cell: 0.000
Energy relative to the elements, uncorrected in eV/atom: -0.081
Energy above the lowest structure with this stoichiometry in meV per atom: 349
Calculated volume in A^3/atom: 15.49

=====

Among the records above, which one has the highest energy above the lowest structure with this stoichiometry? SrCaTa2

=====

The lowest calculated volume belongs to which entry? AlRh2Cl